1.
DFT (PBE+U) results for an optimized crystal structure of KTbEuWO6.

CIF file:
```
data_KTbEuWO6
_chemical_formula_sum 'K4 Tb4 Eu4 W4 O24'
_space_group_name_H-M_alt 'F -4 3 m'
_space_group_IT_number 216
_space_group_name_Hall 'F -4 2 3'
_cell_length_a 8.397
_cell_length_b 8.397
_cell_length_c 8.397
_cell_angle_alpha 90.00
_cell_angle_beta 90.00
_cell_angle_gamma 90.00
loop_
_atom_site_label
_atom_site_fract_x
_atom_site_fract_y
_atom_site_fract_z
K1 0.000 0.000 0.000
Tb1 0.250 0.250 0.750
Eu1 0.000 0.000 0.500
W1 0.250 0.250 0.250
O1 0.017 0.250 0.250
```

Results
Uncorrected energy (eV per atom): -7.92



2.
DFT (PBE+U) results for an optimized crystal structure of KEuV4O12.

CIF file:
```
data_KEuV4O12
_chemical_formula_sum 'K2 Eu2 V8 O24'
_space_group_name_H-M_alt 'A m m 2'
_space_group_IT_number 38
_cell_length_a 7.242
_cell_length_b 7.046
_cell_length_c 10.433
_cell_angle_alpha 90.00
_cell_angle_beta 90.00
_cell_angle_gamma 90.00
loop_
_space_group_symop_operation_xyz
'x,y,z'
'-x,-y,z'
'-x,y,z'
'x,-y,z'
'x,y+1/2,z+1/2'
'-x,-y+1/2,z+1/2'
'-x,y+1/2,z+1/2'
'x,-y+1/2,z+1/2'
loop_
_atom_site_label
_atom_site_fract_x
_atom_site_fract_y
_atom_site_fract_z
K1 0.000 0.000 0.000
Eu1 0.500 0.000 0.549
V1 0.254 0.243 0.268
O1 0.000 0.230 0.763
O2 0.229 0.000 0.207
O3 0.262 0.000 0.709
O4 0.293 0.229 0.425
O5 0.500 0.240 0.201
```

Results
Uncorrected energy (eV per atom): -7.58



3.
DFT (PBE+U) results for an optimized crystal structure of K3EuV2O8.

CIF file:
```
data_K3EuV2O8
_chemical_formula_sum 'K6 Eu2 V4 O16'
_space_group_name_H-M_alt 'P 1 21/m 1'
_space_group_IT_number 11
_cell_length_a 7.868
_cell_length_b 6.110
_cell_length_c 10.091
_cell_angle_alpha 90.00
_cell_angle_beta 91.46
_cell_angle_gamma 90.00
loop_
_space_group_symop_operation_xyz
'x,y,z'
'-x,-y,-z'
'-x,y+1/2,-z'
'x,-y+1/2,z'
loop_
_atom_site_label
_atom_site_fract_x
_atom_site_fract_y
_atom_site_fract_z
K1 0.003 0.250 0.292
K2 0.188 0.250 0.934
K3 0.296 0.750 0.425
Eu1 0.487 0.250 0.234
V1 0.257 0.250 0.599
V2 0.290 0.750 0.082
O1 0.043 0.250 0.573
O2 0.126 0.750 0.968
O3 0.279 0.515 0.184
O4 0.313 0.013 0.690
O5 0.360 0.250 0.447
O6 0.477 0.750 0.995
```

Results
Uncorrected energy (eV per atom): -7.04



4.
DFT (PBE+U) results for an optimized crystal structure of KEuW2O8.

CIF file:
```
data_KEuW2O8
_chemical_formula_sum 'K4 Eu4 W8 O32'
_space_group_name_H-M_alt 'C 1 2/c 1'
_space_group_IT_number 15
_cell_length_a 11.176
_cell_length_b 10.911
_cell_length_c 7.499
_cell_angle_alpha 90.00
_cell_angle_beta 130.60
_cell_angle_gamma 90.00
loop_
_space_group_symop_operation_xyz
'x,y,z'
'-x,-y,-z'
'-x,y,-z+1/2'
'x,-y,z+1/2'
'x+1/2,y+1/2,z'
'-x+1/2,-y+1/2,-z'
'-x+1/2,y+1/2,-z+1/2'
'x+1/2,-y+1/2,z+1/2'
loop_
_atom_site_label
_atom_site_fract_x
_atom_site_fract_y
_atom_site_fract_z
K1 0.000 0.215 0.250
Eu1 0.000 0.225 0.750
W1 0.195 0.495 0.709
O1 0.015 0.391 0.968
O2 0.140 0.096 0.690
O3 0.186 0.442 0.440
O4 0.210 0.150 0.131
```

Results
Uncorrected energy (eV per atom): -7.69